{"formula": "ScBeSbC2", "functional": "meta-GGA SCAN", "state": "single point on PBEsol structure", "dft_energy_ev_per_cell": -69.04, "sg": "P4/mmm", "lattice_angstrom": [[3.8011, 0.0000, 0.0000], [0.0000, 3.8011, 0.0000], [0.0000, 0.0000, 4.6728]], "species": ["Sc", "Be", "Sb", "C", "C"], "frac_coords": [[0.0000, 0.0000, 0.0000], [0.0000, 0.0000, 0.5000], [0.5000, 0.5000, 0.0000], [0.0000, 0.5000, 0.5000], [0.5000, 0.0000, 0.5000]]}